TbDy2WO8 after structural relaxation, computed with PBE+U.

```
data_TbDy2WO8
_symmetry_space_group_name_H-M 'C m m m'
_symmetry_Int_Tables_number 65
_symmetry_space_group_name_Hall '-C 2 2'
_cell_length_a 7.110
_cell_length_b 7.200
_cell_length_c 6.840
_cell_angle_alpha 90.00
_cell_angle_beta 90.00
_cell_angle_gamma 90.00
loop_
_atom_site_label
_atom_site_type_symbol
_atom_site_fract_x
_atom_site_fract_y
_atom_site_fract_z
Tb1 Tb 0.000 0.000 0.000
Dy1 Dy 0.000 0.500 0.251
W1 W 0.000 0.000 0.500
O1 O 0.000 0.183 0.288
O2 O 0.191 0.500 0.000
O3 O 0.225 0.500 0.500
```

density = 7547 kg/m³
E_tot = -7.907 eV per atom
magnetization = 0.81 μB/f.u.